[1]
DFT (PBE-GGA) results for a relaxed structure of Ba8P3Br4O.

The final energy is -4.3579 eV/atom. As for the total magnetization: 0.00 μB per cell.

The space group is C2/m (No. 12) and the conventional cell measures 15.8001, 9.1141 and 9.5217 Å, with angles of 90.00, 123.60 and 90.00 degrees. The distinct sites, in fractional coordinates, are Ba at (0.0114, 0.2382, 0.2959), Ba at (0.2287, 0.0000, 0.7057), Ba at (0.2397, 0.5000, 0.7190), P at (0.0000, 0.5000, 0.5000), P at (0.2500, 0.2500, 0.5000), Br at (0.0000, 0.0000, 0.0000), Br at (0.0000, 0.5000, 0.0000), Br at (0.2500, 0.2500, 0.0000) and O at (0.0000, 0.0000, 0.5000).


[2]
DFT (PBE-GGA) results for a relaxed structure of BaPBrO2.

The final energy is -3.6468 eV/atom. As for the total magnetization: 2.26 μB per cell.

The space group is P4/mmm (No. 123) and the conventional cell measures 4.4605, 4.4605 and 8.5180 Å, with angles of 90.00, 90.00 and 90.00 degrees. The distinct sites, in fractional coordinates, are Ba at (0.0000, 0.0000, 0.0000), P at (0.0000, 0.0000, 0.5000), Br at (0.5000, 0.5000, 0.5000) and O at (0.0000, 0.5000, 0.0000).


[3]
DFT (PBE-GGA) results for a relaxed structure of BaPBrO2.

The final energy is -3.9518 eV/atom. As for the total magnetization: 0.00 μB per cell.

The space group is P4/mmm (No. 123) and the conventional cell measures 4.5024, 4.5024 and 4.6787 Å, with angles of 90.00, 90.00 and 90.00 degrees. The distinct sites, in fractional coordinates, are Ba at (0.0000, 0.0000, 0.0000), P at (0.5000, 0.5000, 0.0000), Br at (0.5000, 0.5000, 0.5000) and O at (0.0000, 0.5000, 0.5000).